CsNa2SnPd: optimized geometry, PBE.

a = 5.976 Å, b = 5.976 Å, c = 5.188 Å
α = 90.00°, β = 90.00°, γ = 90.00°
Fractional coordinates of all 5 atoms:
Na (0.000, 0.500, 0.000)
Na (0.500, 0.000, 0.000)
Pd (0.000, 0.000, 0.500)
Sn (0.000, 0.000, 0.000)
Cs (0.500, 0.500, 0.500)

Output
Space group: P4/mmm
Volume: 37.1 Å³ per atom
Offset from the most stable computed form: 123 meV per atom